Here is a geometry-optimized Nb3Te structure from the Alexandria database. Energies are from GGA-PBEsol. Values from VASP.

Calculated values
**Total magnetic moment**: 0.00 μB/cell
**Total DFT energy (no corrections)**: -9.226 eV per atom
**Uncorrected formation energy**: -0.2280 eV per atom
**Space group**: No. 223

Structure (Quantum ESPRESSO input):
```
&SYSTEM
  ibrav = 0, nat = 8, ntyp = 2
/
ATOMIC_SPECIES
Nb 92.91 Nb.upf
Te 127.60 Te.upf
CELL_PARAMETERS angstrom
-1.1294 3.7587 -3.4655
-2.3408 -3.5354 -3.0716
-4.5451 0.8867 2.4430
ATOMIC_POSITIONS crystal
Nb 0.5000 0.7500 0.0000
Nb 0.0000 0.5000 0.7500
Nb 0.5000 0.2500 0.0000
Nb 0.0000 0.5000 0.2500
Nb 0.2500 0.0000 0.5000
Nb 0.7500 0.0000 0.5000
Te 0.5000 0.5000 0.5000
Te 0.0000 0.0000 0.0000
```

Here is a geometry-optimized CaBe2Pt2 structure from the Alexandria database. Energies are from GGA-PBEsol. Values from VASP.

Calculated values
**Total magnetic moment**: 0.00 μB/cell
**Offset from the most stable computed form**: 0.007 eV/atom
**Total DFT energy (no corrections)**: -5.466 eV per atom
**Space group**: No. 127
**ΔE_f**: -0.654 eV per atom

Structure (Quantum ESPRESSO input):
```
&SYSTEM
  ibrav = 0, nat = 10, ntyp = 3
/
ATOMIC_SPECIES
Be 9.01 Be.upf
Ca 40.08 Ca.upf
Pt 195.08 Pt.upf
CELL_PARAMETERS angstrom
2.7702 0.0000 0.0000
0.0000 7.0398 0.0000
0.0000 0.0000 7.0398
ATOMIC_POSITIONS crystal
Be 0.0000 0.3827 0.8827
Be 0.0000 0.8827 0.6173
Be 0.0000 0.6173 0.1173
Be 0.0000 0.1173 0.3827
Ca 0.0000 0.0000 0.0000
Ca 0.0000 0.5000 0.5000
Pt 0.5000 0.1677 0.6677
Pt 0.5000 0.6677 0.8323
Pt 0.5000 0.8323 0.3323
Pt 0.5000 0.3323 0.1677
```

Here is a geometry-optimized Mg2InAg structure from the Alexandria database. Energies are from GGA-PBEsol. Values from VASP.

Calculated values
**Total magnetic moment**: 0.00 μB/cell
**Total DFT energy (no corrections)**: -2.542 eV per atom
**Space group**: No. 44
**ΔE_f**: -0.110 eV per atom

Structure (Quantum ESPRESSO input):
```
&SYSTEM
  ibrav = 0, nat = 4, ntyp = 3
/
ATOMIC_SPECIES
Mg 24.30 Mg.upf
Ag 107.87 Ag.upf
In 114.82 In.upf
CELL_PARAMETERS angstrom
3.4302 0.0000 0.0000
0.0000 4.7800 0.0000
-1.7151 -2.3900 4.9899
ATOMIC_POSITIONS crystal
Mg 0.9982 0.9982 0.9963
Mg 0.7720 0.2720 0.5439
Ag 0.4983 0.4983 0.9965
In 0.2316 0.7316 0.4632
```

Here is a geometry-optimized CdCl2 structure from the Alexandria database. Energies are from GGA-PBEsol. Values from VASP.

Calculated values
**Total magnetic moment**: 0.00 μB/cell
**Total DFT energy (no corrections)**: -2.721 eV per atom
**Uncorrected formation energy**: -0.9836 eV per atom
**Space group**: No. 115

Structure (Quantum ESPRESSO input):
```
&SYSTEM
  ibrav = 0, nat = 3, ntyp = 2
/
ATOMIC_SPECIES
Cd 112.41 Cd.upf
Cl 35.45 Cl.upf
CELL_PARAMETERS angstrom
3.9841 0.0000 0.0000
0.0000 3.9841 0.0000
0.0000 0.0000 5.4237
ATOMIC_POSITIONS crystal
Cd 0.5000 0.5000 0.0000
Cl 0.0000 0.5000 0.2699
Cl 0.5000 0.0000 0.7301
```

Here is a geometry-optimized LiTiO2 structure from the Alexandria database. Energies are from GGA-PBEsol. Values from VASP.

Calculated values
**Total magnetic moment**: 0.00 μB/cell
**Total DFT energy (no corrections)**: -7.801 eV per atom
**Uncorrected formation energy**: -2.6045 eV per atom
**Space group**: No. 160

Structure (Quantum ESPRESSO input):
```
&SYSTEM
  ibrav = 0, nat = 4, ntyp = 3
/
ATOMIC_SPECIES
Ti 47.87 Ti.upf
O 16.00 O.upf
Li 6.94 Li.upf
CELL_PARAMETERS angstrom
-0.3924 -0.6342 2.7641
-1.9884 -1.9140 0.7612
2.7010 -4.6273 0.8044
ATOMIC_POSITIONS crystal
Ti 0.9987 0.9987 0.0040
O 0.4085 0.4085 0.7744
O 0.5874 0.5874 0.2377
Li 0.1720 0.1720 0.4839
```

Here is a geometry-optimized BaAlCl2 structure from the Alexandria database. Energies are from GGA-PBEsol. Values from VASP.

Calculated values
**Total magnetic moment**: 0.00 μB/cell
**Offset from the most stable computed form**: 0.034 eV/atom
**Total DFT energy (no corrections)**: -3.616 eV per atom
**Uncorrected formation energy**: -1.0524 eV per atom
**Space group**: No. 122

Structure (Quantum ESPRESSO input):
```
&SYSTEM
  ibrav = 0, nat = 8, ntyp = 3
/
ATOMIC_SPECIES
Al 26.98 Al.upf
Ba 137.33 Ba.upf
Cl 35.45 Cl.upf
CELL_PARAMETERS angstrom
-1.4993 3.2198 -3.8005
-2.1667 -3.9954 -2.5301
-6.2916 1.9344 7.6807
ATOMIC_POSITIONS crystal
Al 0.7500 0.2500 0.5000
Al 0.5000 0.5000 0.0000
Ba 0.2500 0.7500 0.5000
Ba 0.0000 0.0000 0.0000
Cl 0.3943 0.8750 0.2500
Cl 0.8557 0.3750 0.2500
Cl 0.1250 0.1443 0.7500
Cl 0.6250 0.6057 0.7500
```

Here is a geometry-optimized AlZnCu2 structure from the Alexandria database. Energies are from GGA-PBEsol. Values from VASP.

Calculated values
**Total magnetic moment**: 0.00 μB/cell
**Total DFT energy (no corrections)**: -3.754 eV per atom
**Space group**: No. 139
**ΔE_f**: -0.169 eV per atom

Structure (Quantum ESPRESSO input):
```
&SYSTEM
  ibrav = 0, nat = 4, ntyp = 3
/
ATOMIC_SPECIES
Zn 65.41 Zn.upf
Al 26.98 Al.upf
Cu 63.55 Cu.upf
CELL_PARAMETERS angstrom
-2.8895 2.8690 -0.5581
1.4066 -2.1602 -3.2538
-2.4265 -2.7922 -1.7910
ATOMIC_POSITIONS crystal
Zn 0.0000 0.0000 0.0000
Al 0.5000 0.0000 0.5000
Cu 0.2500 0.5000 0.2500
Cu 0.7500 0.5000 0.7500
```

Here is a geometry-optimized Si2HCl structure from the Alexandria database. Energies are from GGA-PBEsol. Values from VASP.

Calculated values
**Total magnetic moment**: 0.00 μB/cell
**Total DFT energy (no corrections)**: -3.266 eV per atom
**Space group**: No. 225

Structure (Quantum ESPRESSO input):
```
&SYSTEM
  ibrav = 0, nat = 4, ntyp = 3
/
ATOMIC_SPECIES
H 1.01 H.upf
Si 28.09 Si.upf
Cl 35.45 Cl.upf
CELL_PARAMETERS angstrom
4.3298 0.0000 0.0000
2.1649 3.7497 0.0000
2.1649 1.2499 3.5353
ATOMIC_POSITIONS crystal
H 0.0000 0.0000 0.0000
Si 0.2500 0.2500 0.2500
Si 0.7500 0.7500 0.7500
Cl 0.5000 0.5000 0.5000
```

Here is a geometry-optimized BeSnMoOs2 structure from the Alexandria database. Energies are from GGA-PBEsol. Values from VASP.

Calculated values
**Total magnetic moment**: 2.09 μB/cell
**Total DFT energy (no corrections)**: -5.971 eV per atom
**Space group**: No. 123
**ΔE_f**: 2.921 eV per atom

Structure (Quantum ESPRESSO input):
```
&SYSTEM
  ibrav = 0, nat = 5, ntyp = 4
/
ATOMIC_SPECIES
Be 9.01 Be.upf
Mo 95.94 Mo.upf
Os 190.23 Os.upf
Sn 118.71 Sn.upf
CELL_PARAMETERS angstrom
4.7553 0.0000 0.0000
0.0000 4.7553 0.0000
0.0000 0.0000 4.8416
ATOMIC_POSITIONS crystal
Be 0.5000 0.5000 0.5000
Mo 0.0000 0.0000 0.5000
Os 0.0000 0.5000 0.0000
Os 0.5000 0.0000 0.0000
Sn 0.0000 0.0000 0.0000
```

Here is a geometry-optimized Ba2CaZn structure from the Alexandria database. Energies are from GGA-PBEsol. Values from VASP.

Calculated values
**Total magnetic moment**: 0.00 μB/cell
**Total DFT energy (no corrections)**: -2.060 eV per atom
**Space group**: No. 99
**ΔE_f**: -0.057 eV per atom

Structure (Quantum ESPRESSO input):
```
&SYSTEM
  ibrav = 0, nat = 4, ntyp = 3
/
ATOMIC_SPECIES
Zn 65.41 Zn.upf
Ca 40.08 Ca.upf
Ba 137.33 Ba.upf
CELL_PARAMETERS angstrom
-0.7622 2.6082 2.8679
-3.0583 -2.2007 1.1886
6.1015 -5.0991 6.2589
ATOMIC_POSITIONS crystal
Zn 0.5000 0.5000 0.7227
Ca 0.0000 0.0000 0.5760
Ba 0.0000 0.0000 0.9261
Ba 0.5000 0.5000 0.2752
```

Here is a geometry-optimized TaGaNF2 structure from the Alexandria database. Energies are from GGA-PBEsol. Values from VASP.

Calculated values
**Total magnetic moment**: 2.26 μB/cell
**Total DFT energy (no corrections)**: -5.949 eV per atom
**Uncorrected formation energy**: -0.2948 eV per atom
**Space group**: No. 123

Structure (Quantum ESPRESSO input):
```
&SYSTEM
  ibrav = 0, nat = 5, ntyp = 4
/
ATOMIC_SPECIES
N 14.01 N.upf
F 19.00 F.upf
Ga 69.72 Ga.upf
Ta 180.95 Ta.upf
CELL_PARAMETERS angstrom
-0.0674 0.0096 -3.5734
-2.8202 -2.1949 0.0473
-2.9948 3.8495 0.0668
ATOMIC_POSITIONS crystal
N 0.0000 0.0000 0.5000
F 0.0000 0.5000 0.0000
F 0.5000 0.0000 0.0000
Ga 0.0000 0.0000 0.0000
Ta 0.5000 0.5000 0.5000
```

Here is a geometry-optimized BaCu2PH structure from the Alexandria database. Energies are from GGA-PBEsol. Values from VASP.

Calculated values
**Total magnetic moment**: 2.71 μB/cell
**Total DFT energy (no corrections)**: -2.056 eV per atom
**Space group**: No. 123

Structure (Quantum ESPRESSO input):
```
&SYSTEM
  ibrav = 0, nat = 5, ntyp = 4
/
ATOMIC_SPECIES
P 30.97 P.upf
Ba 137.33 Ba.upf
Cu 63.55 Cu.upf
H 1.01 H.upf
CELL_PARAMETERS angstrom
-3.6942 4.5765 -0.7053
-1.9570 -2.3608 -5.0681
-4.3132 -3.0090 3.0672
ATOMIC_POSITIONS crystal
P 0.0000 0.0000 0.5000
Ba 0.0000 0.0000 0.0000
Cu 0.0000 0.5000 0.0000
Cu 0.5000 0.0000 0.0000
H 0.5000 0.5000 0.5000
```

Here is a geometry-optimized BMo2 structure from the Alexandria database. Energies are from GGA-PBEsol. Values from VASP.

Calculated values
**Total magnetic moment**: 0.00 μB/cell
**Total DFT energy (no corrections)**: -10.551 eV per atom
**Space group**: No. 140
**ΔE_f**: -0.367 eV per atom

Structure (Quantum ESPRESSO input):
```
&SYSTEM
  ibrav = 0, nat = 6, ntyp = 2
/
ATOMIC_SPECIES
Mo 95.94 Mo.upf
B 10.81 B.upf
CELL_PARAMETERS angstrom
-1.2669 4.2714 0.9416
0.8274 -2.7776 3.5124
3.9537 0.3613 -2.2302
ATOMIC_POSITIONS crystal
Mo 0.3312 0.1688 0.5000
Mo 0.6688 0.8312 0.5000
Mo 0.1688 0.6688 0.8375
Mo 0.8312 0.3312 0.1625
B 0.2500 0.2500 0.0000
B 0.7500 0.7500 0.0000
```

Here is a geometry-optimized SiTePtI2 structure from the Alexandria database. Energies are from GGA-PBEsol. Values from VASP.

Calculated values
**Total magnetic moment**: 0.00 μB/cell
**Total DFT energy (no corrections)**: -3.389 eV per atom
**Uncorrected formation energy**: 0.5654 eV per atom
**Space group**: No. 123

Structure (Quantum ESPRESSO input):
```
&SYSTEM
  ibrav = 0, nat = 5, ntyp = 4
/
ATOMIC_SPECIES
I 126.90 I.upf
Si 28.09 Si.upf
Te 127.60 Te.upf
Pt 195.08 Pt.upf
CELL_PARAMETERS angstrom
-2.0373 1.1957 -4.7480
-4.8853 -0.3210 2.0153
0.1670 5.1481 1.2247
ATOMIC_POSITIONS crystal
I 0.0000 0.0000 0.5000
I 0.0000 0.5000 0.0000
Si 0.5000 0.5000 0.5000
Te 0.5000 0.0000 0.0000
Pt 0.0000 0.0000 0.0000
```

Here is a geometry-optimized Mn2ZnRh structure from the Alexandria database. Energies are from GGA-PBEsol. Values from VASP.

Calculated values
**Total magnetic moment**: 0.87 μB/cell
**Total DFT energy (no corrections)**: -7.343 eV per atom
**Space group**: No. 99
**ΔE_f**: -0.033 eV per atom

Structure (Quantum ESPRESSO input):
```
&SYSTEM
  ibrav = 0, nat = 4, ntyp = 3
/
ATOMIC_SPECIES
Zn 65.41 Zn.upf
Mn 54.94 Mn.upf
Rh 102.91 Rh.upf
CELL_PARAMETERS angstrom
2.9994 0.0000 0.0000
0.0000 2.9994 0.0000
0.0000 0.0000 5.6135
ATOMIC_POSITIONS crystal
Zn 0.5000 0.5000 0.7535
Mn 0.0000 0.0000 0.0148
Mn 0.5000 0.5000 0.2326
Rh 0.0000 0.0000 0.4991
```

Here is a geometry-optimized MnAlRe structure from the Alexandria database. Energies are from GGA-PBEsol. Values from VASP.

Calculated values
**Total magnetic moment**: 0.00 μB/cell
**Offset from the most stable computed form**: 0.000 eV/atom
**Total DFT energy (no corrections)**: -9.310 eV per atom
**Space group**: No. 107
**ΔE_f**: -0.249 eV per atom

Structure (Quantum ESPRESSO input):
```
&SYSTEM
  ibrav = 0, nat = 3, ntyp = 3
/
ATOMIC_SPECIES
Re 186.21 Re.upf
Mn 54.94 Mn.upf
Al 26.98 Al.upf
CELL_PARAMETERS angstrom
2.8674 0.0000 0.0000
0.0000 2.8674 0.0000
-1.4337 -1.4337 4.6272
ATOMIC_POSITIONS crystal
Re 0.3234 0.3234 0.6468
Mn 0.6681 0.6681 0.3362
Al 0.0085 0.0085 0.0170
```

Here is a geometry-optimized ScHgPb structure from the Alexandria database. Energies are from GGA-PBEsol. Values from VASP.

Calculated values
**Total magnetic moment**: 0.00 μB/cell
**Total DFT energy (no corrections)**: -4.007 eV per atom
**Space group**: No. 156
**ΔE_f**: -0.283 eV per atom

Structure (Quantum ESPRESSO input):
```
&SYSTEM
  ibrav = 0, nat = 3, ntyp = 3
/
ATOMIC_SPECIES
Pb 207.20 Pb.upf
Sc 44.96 Sc.upf
Hg 200.59 Hg.upf
CELL_PARAMETERS angstrom
3.6111 0.0000 0.0000
0.0000 4.7419 0.0000
0.0000 -2.3709 4.1066
ATOMIC_POSITIONS crystal
Pb 0.6865 0.3333 0.6667
Sc 0.2927 0.6667 0.3333
Hg 0.0208 0.0000 0.0000
```

Here is a geometry-optimized CoSb3Os structure from the Alexandria database. Energies are from GGA-PBEsol. Values from VASP.

Calculated values
**Total magnetic moment**: 1.94 μB/cell
**Total DFT energy (no corrections)**: -5.485 eV per atom
**Uncorrected formation energy**: 1.2398 eV per atom
**Space group**: No. 221

Structure (Quantum ESPRESSO input):
```
&SYSTEM
  ibrav = 0, nat = 5, ntyp = 3
/
ATOMIC_SPECIES
Sb 121.76 Sb.upf
Os 190.23 Os.upf
Co 58.93 Co.upf
CELL_PARAMETERS angstrom
-2.3525 4.4538 -0.4882
-3.8700 -2.2978 -2.3135
-2.2578 -0.7021 4.4742
ATOMIC_POSITIONS crystal
Sb 0.0000 0.5000 0.0000
Sb 0.0000 0.0000 0.5000
Sb 0.5000 0.0000 0.0000
Os 0.0000 0.0000 0.0000
Co 0.5000 0.5000 0.5000
```

Here is a geometry-optimized TaPtPb structure from the Alexandria database. Energies are from GGA-PBEsol. Values from VASP.

Calculated values
**Total magnetic moment**: 0.00 μB/cell
**Total DFT energy (no corrections)**: -7.445 eV per atom
**Space group**: No. 216
**ΔE_f**: 0.392 eV per atom

Structure (Quantum ESPRESSO input):
```
&SYSTEM
  ibrav = 0, nat = 3, ntyp = 3
/
ATOMIC_SPECIES
Pb 207.20 Pb.upf
Pt 195.08 Pt.upf
Ta 180.95 Ta.upf
CELL_PARAMETERS angstrom
4.5164 0.0000 0.0000
2.2582 3.9113 0.0000
2.2582 1.3038 3.6876
ATOMIC_POSITIONS crystal
Pb 0.0000 0.0000 0.0000
Pt 0.5000 0.5000 0.5000
Ta 0.2500 0.2500 0.2500
```

Here is a geometry-optimized ZnPtCl2 structure from the Alexandria database. Energies are from GGA-PBEsol. Values from VASP.

Calculated values
**Total magnetic moment**: 0.00 μB/cell
**Offset from the most stable computed form**: 0.000 eV/atom
**Total DFT energy (no corrections)**: -3.314 eV per atom
**Uncorrected formation energy**: -0.1740 eV per atom
**Space group**: No. 99

Structure (Quantum ESPRESSO input):
```
&SYSTEM
  ibrav = 0, nat = 4, ntyp = 3
/
ATOMIC_SPECIES
Zn 65.41 Zn.upf
Pt 195.08 Pt.upf
Cl 35.45 Cl.upf
CELL_PARAMETERS angstrom
3.3813 0.0000 0.0000
0.0000 3.3813 0.0000
0.0000 0.0000 6.7410
ATOMIC_POSITIONS crystal
Zn 0.5000 0.5000 0.6952
Pt 0.0000 0.0000 0.5670
Cl 0.0000 0.0000 0.9154
Cl 0.5000 0.5000 0.3225
```